Record 1
Below is crystalline ZrTa2Cd at its relaxed geometry, with properties calculated at the PBE level.

Cell: 2.910 2.910 9.750 Å, 90.00 90.00 106.25°
Positions (direct):
Cd: 0.500 0.500 0.750
Ta: 0.000 0.000 0.002
Ta: 0.000 0.000 0.498
Zr: 0.500 0.500 0.250

Calculated values
size of the total moment = 0.00 Bohr magnetons per cell
space-group type = No. 65
raw total energy = -32.3 eV for the cell shown
calculated volume = 79.3 Å³ per cell
crystal system = orthorhombic
formation energy from the elements = 0.22 eV/atom

Record 2
Below is crystalline Pm5Pr2Mg at its relaxed geometry, with properties calculated at the PBE level.

Cell: 7.200 7.200 7.230 Å, 119.87 119.86 90.00°
Positions (direct):
Pm: 0.722 0.222 0.944
Pm: 0.222 0.222 0.944
Pm: 0.722 0.722 0.944
Pm: 0.222 0.722 0.944
Pm: 0.722 0.722 0.444
Pr: 0.222 0.722 0.444
Pr: 0.722 0.222 0.444
Mg: 0.222 0.222 0.444

Calculated values
E above lowest polymorph = 0.000 eV per atom
size of the total moment = 0.00 Bohr magnetons per cell
space-group type = No. 139
raw total energy = -34.9 eV for the cell shown
calculated volume = 266.1 Å³ per cell
crystal system = tetragonal
formation energy from the elements = 0.00 eV/atom

Record 3
Below is crystalline InCuRh2 at its relaxed geometry, with properties calculated at the PBE level.

Cell: 5.180 5.180 5.180 Å, 146.20 126.77 64.56°
Positions (direct):
Cu: 0.750 0.250 0.500
In: 0.250 0.750 0.500
Rh: 0.991 0.991 0.000
Rh: 0.509 0.509 0.000

Calculated values
size of the total moment = 0.00 Bohr magnetons per cell
space-group type = No. 71
raw total energy = -21.7 eV for the cell shown
calculated volume = 61.2 Å³ per cell
crystal system = orthorhombic
formation energy from the elements = -0.04 eV/atom

Record 4
Below is crystalline TaZnH at its relaxed geometry, with properties calculated at the PBE level.

Cell: 5.187 5.524 3.051 Å, 73.88 89.86 61.91°
Positions (direct):
H: 0.209 0.263 0.160
H: 0.163 0.942 0.819
Zn: 0.449 0.589 0.497
Zn: 0.924 0.617 0.482
Ta: 0.464 0.067 0.758
Ta: 0.908 0.139 0.221

Calculated values
E above lowest polymorph = 0.012 eV per atom
size of the total moment = 0.00 Bohr magnetons per cell
space-group type = No. 2
raw total energy = -33.2 eV for the cell shown
calculated volume = 73.2 Å³ per cell
crystal system = triclinic

Record 5
Below is crystalline BaAl9Ag4 at its relaxed geometry, with properties calculated at the PBE level.

Cell: 8.986 8.986 9.241 Å, 119.09 119.09 90.00°
Positions (direct):
Ba: 0.750 0.750 0.500
Ba: 0.250 0.250 0.500
Al: 0.068 0.204 0.000
Al: 0.932 0.796 0.000
Al: 0.568 0.296 0.000
Al: 0.432 0.704 0.000
Al: 0.296 0.432 0.000
Al: 0.704 0.568 0.000
Al: 0.204 0.932 0.000
Al: 0.796 0.068 0.000
Al: 0.000 0.500 0.000
Al: 0.500 0.000 0.000
Al: 0.799 0.299 0.354
Al: 0.555 0.055 0.354
Al: 0.945 0.201 0.646
Al: 0.701 0.445 0.646
Al: 0.201 0.701 0.646
Al: 0.445 0.945 0.646
Al: 0.299 0.555 0.354
Al: 0.055 0.799 0.354
Ag: 0.299 0.799 0.250
Ag: 0.952 0.452 0.250
Ag: 0.548 0.701 0.750
Ag: 0.201 0.048 0.750
Ag: 0.701 0.201 0.750
Ag: 0.048 0.548 0.750
Ag: 0.799 0.952 0.250
Ag: 0.452 0.299 0.250

Calculated values
size of the total moment = 0.00 Bohr magnetons per cell
space-group type = No. 140
raw total energy = -97.5 eV for the cell shown
calculated volume = 541.9 Å³ per cell
crystal system = tetragonal
formation energy from the elements = -0.13 eV/atom

Record 6
Below is crystalline LiGa2HgSe4 at its relaxed geometry, with properties calculated at the PBE level.

Cell: 5.990 5.990 7.198 Å, 112.62 112.62 94.33°
Positions (direct):
Li: 0.501 0.501 0.003
Ga: 0.757 0.257 0.514
Ga: 0.257 0.757 0.514
Hg: 0.005 0.005 0.009
Se: 0.601 0.601 0.723
Se: 0.388 0.870 0.258
Se: 0.870 0.388 0.258
Se: 0.121 0.121 0.723

Calculated values
size of the total moment = 0.00 Bohr magnetons per cell
space-group type = No. 42
raw total energy = -26.7 eV for the cell shown
calculated volume = 212.3 Å³ per cell
raw formation energy = -566 meV per atom
crystal system = orthorhombic